Entry 1:
# PBE Y2Mo2Ir, relaxed
# ΔE to the lowest computed polymorph = 0 meV per atom
data_Y2Mo2Ir
_symmetry_space_group_name_H-M 'C 1 2/m 1'
_symmetry_Int_Tables_number 12
_cell_length_a 10.249
_cell_length_b 4.454
_cell_length_c 10.389
_cell_angle_alpha 90.00
_cell_angle_beta 115.88
_cell_angle_gamma 90.00
loop_
_symmetry_equiv_pos_as_xyz
'x,y,z'
'-x,-y,-z'
'-x,y,-z'
'x,-y,z'
'x+1/2,y+1/2,z'
'-x+1/2,-y+1/2,-z'
'-x+1/2,y+1/2,-z'
'x+1/2,-y+1/2,z'
loop_
_atom_site_label
_atom_site_type_symbol
_atom_site_fract_x
_atom_site_fract_y
_atom_site_fract_z
Y1 Y 0.007 0.000 0.187
Y2 Y 0.186 0.000 0.596
Mo1 Mo 0.143 0.500 0.083
Mo2 Mo 0.212 0.500 0.879
Ir1 Ir 0.013 0.500 0.381

***

Entry 2:
# PBE YMoIr2, relaxed
# ΔE to the lowest computed polymorph = 267 meV per atom
data_YMoIr2
_symmetry_space_group_name_H-M 'I -4 m 2'
_symmetry_Int_Tables_number 119
_symmetry_space_group_name_Hall 'I -4 -2'
_cell_length_a 4.008
_cell_length_b 4.008
_cell_length_c 8.650
_cell_angle_alpha 90.00
_cell_angle_beta 90.00
_cell_angle_gamma 90.00
loop_
_atom_site_label
_atom_site_type_symbol
_atom_site_fract_x
_atom_site_fract_y
_atom_site_fract_z
Y1 Y 0.000 0.000 0.000
Mo1 Mo 0.000 0.500 0.750
Ir1 Ir 0.000 0.000 0.500
Ir2 Ir 0.000 0.500 0.250

***

no.,ΔH_f (0 K) (meV/atom),total magnetization (μB/f.u.)
1,-220.3,0.00
2,-69.5,0.00